Record 1
# TmGaFe2C, relaxed, DFT PBE
# energy of formation = -29 kJ per mole of atoms
# D(E_F) = 0.6130 states/eV/atom
data_TmGaFe2C
_symmetry_space_group_name_H-M 'C m c m'
_symmetry_Int_Tables_number 63
_symmetry_space_group_name_Hall '-C 2c 2'
_cell_length_a 3.6579
_cell_length_b 10.5514
_cell_length_c 7.1234
_cell_angle_alpha 90.00
_cell_angle_beta 90.00
_cell_angle_gamma 90.00
loop_
_atom_site_label
_atom_site_fract_x
_atom_site_fract_y
_atom_site_fract_z
_atom_site_occupancy
Tm1 0.0000 0.0419 0.2500 1
Ga1 0.0000 0.2356 0.7500 1
Fe1 0.0000 0.3355 0.0559 1
C1 0.0000 0.5000 0.0000 1

Record 2
# TmZrAg, relaxed, DFT PBE
# energy of formation = 12 kJ per mole of atoms
# D(E_F) = 1.4170 states/eV/atom
# E above lowest polymorph = 21.8 kJ/mol of atoms
data_TmZrAg
_symmetry_space_group_name_H-M 'P 3 m 1'
_symmetry_Int_Tables_number 156
_symmetry_space_group_name_Hall 'P 3 -2"'
_cell_length_a 4.9375
_cell_length_b 4.9375
_cell_length_c 3.3525
_cell_angle_alpha 90.00
_cell_angle_beta 90.00
_cell_angle_gamma 120.00
loop_
_atom_site_label
_atom_site_fract_x
_atom_site_fract_y
_atom_site_fract_z
_atom_site_occupancy
Tm1 0.0000 0.0000 0.0000 1
Zr1 0.3333 0.6667 0.5397 1
Ag1 0.6667 0.3333 0.3781 1

Record 3
# Rb3Sr5Cl12, relaxed, DFT PBE
# raw formation energy = -43.50 eV per formula unit
# D(E_F) = 0.0737 states/eV/atom
data_Rb3Sr5Cl12
_symmetry_space_group_name_H-M 'I a -3 d'
_symmetry_Int_Tables_number 230
_symmetry_space_group_name_Hall '-I 4bd 2c 3'
_cell_length_a 18.3903
_cell_length_b 18.3903
_cell_length_c 18.3903
_cell_angle_alpha 90.00
_cell_angle_beta 90.00
_cell_angle_gamma 90.00
loop_
_atom_site_label
_atom_site_fract_x
_atom_site_fract_y
_atom_site_fract_z
_atom_site_occupancy
Rb1 0.0000 0.2500 0.1250 1
Sr1 0.0000 0.0000 0.0000 1
Sr2 0.0000 0.2500 0.3750 1
Cl1 0.0264 0.0554 0.6478 1

Record 4
# KMo2Pt, relaxed, DFT PBE
# energy of formation = 131 kJ per mole of atoms
# D(E_F) = 1.0855 states/eV/atom
# E above lowest polymorph = 92.1 kJ/mol of atoms
data_KMo2Pt
_symmetry_space_group_name_H-M 'P 4/m m m'
_symmetry_Int_Tables_number 123
_symmetry_space_group_name_Hall '-P 4 2'
_cell_length_a 5.0776
_cell_length_b 5.0776
_cell_length_c 2.7511
_cell_angle_alpha 90.00
_cell_angle_beta 90.00
_cell_angle_gamma 90.00
loop_
_atom_site_label
_atom_site_fract_x
_atom_site_fract_y
_atom_site_fract_z
_atom_site_occupancy
K1 0.0000 0.0000 0.0000 1
Mo1 0.0000 0.5000 0.5000 1
Pt1 0.5000 0.5000 0.0000 1

Record 5
# SmGdYTh, relaxed, DFT PBE
# energy of formation = 17 kJ per mole of atoms
# D(E_F) = 2.2490 states/eV/atom
data_SmGdYTh
_symmetry_space_group_name_H-M 'F -4 3 m'
_symmetry_Int_Tables_number 216
_symmetry_space_group_name_Hall 'F -4 2 3'
_cell_length_a 8.0849
_cell_length_b 8.0849
_cell_length_c 8.0849
_cell_angle_alpha 90.00
_cell_angle_beta 90.00
_cell_angle_gamma 90.00
loop_
_atom_site_label
_atom_site_fract_x
_atom_site_fract_y
_atom_site_fract_z
_atom_site_occupancy
Sm1 0.0000 0.0000 0.0000 1
Gd1 0.0000 0.0000 0.5000 1
Y1 0.2500 0.2500 0.7500 1
Th1 0.2500 0.2500 0.2500 1

Record 6
# CsLi2Ca, relaxed, DFT PBE
# energy of formation = 14 kJ per mole of atoms
# D(E_F) = 0.7886 states/eV/atom
# E above lowest polymorph = 0.0 kJ/mol of atoms
data_CsLi2Ca
_symmetry_space_group_name_H-M 'P 4/m m m'
_symmetry_Int_Tables_number 123
_symmetry_space_group_name_Hall '-P 4 2'
_cell_length_a 4.3631
_cell_length_b 4.3631
_cell_length_c 9.1521
_cell_angle_alpha 90.00
_cell_angle_beta 90.00
_cell_angle_gamma 90.00
loop_
_atom_site_label
_atom_site_fract_x
_atom_site_fract_y
_atom_site_fract_z
_atom_site_occupancy
Cs1 0.0000 0.0000 0.0000 1
Li1 0.5000 0.5000 0.3294 1
Ca1 0.0000 0.0000 0.5000 1

- Number 4 is which compound?
  KMo2Pt

- Which formula does entry 2 have?
  TmZrAg

- Which of these has the lowest D(E_F)?
  Rb3Sr5Cl12

- Number 2 is which compound?
  TmZrAg